Record 1
Computed, not measured: an optimized crystal structure of Sc11Ag9Pd4 at the GGA-PBE level of DFT.

Cell and atoms, written as CIF:
```
data_Sc11Ag9Pd4
_chemical_formula_sum 'Sc22 Ag18 Pd8'
_cell_length_a 13.664
_cell_length_b 20.538
_cell_length_c 3.357
_cell_angle_alpha 90.00
_cell_angle_beta 90.00
_cell_angle_gamma 90.00
_space_group_name_H-M_alt 'C m m m'
_space_group_IT_number 65
_space_group_name_Hall '-C 2 2'
loop_
_atom_site_label
_atom_site_fract_x
_atom_site_fract_y
_atom_site_fract_z
Sc1 0.000 0.000 0.000
Sc2 0.000 0.166 0.000
Sc3 0.000 0.362 0.000
Sc4 0.219 0.500 0.000
Sc5 0.242 0.172 0.000
Ag1 0.000 0.500 0.500
Ag2 0.110 0.259 0.500
Ag3 0.131 0.077 0.500
Pd1 0.151 0.403 0.500
```


Record 2
Computed, not measured: an optimized crystal structure of Sc4Ag2Pd at the GGA-PBE level of DFT.

Cell and atoms, written as CIF:
```
data_Sc4Ag2Pd
_chemical_formula_sum 'Sc12 Ag6 Pd3'
_cell_length_a 4.7483
_cell_length_b 4.7483
_cell_length_c 23.0353
_cell_angle_alpha 90.00
_cell_angle_beta 90.00
_cell_angle_gamma 120.00
_space_group_name_H-M_alt 'R -3 m'
_space_group_IT_number 166
_space_group_name_Hall '-R 3 2"'
loop_
_atom_site_label
_atom_site_fract_x
_atom_site_fract_y
_atom_site_fract_z
Sc1 0.0000 0.0000 0.1230
Sc2 0.0000 0.0000 0.3738
Ag1 0.0000 0.0000 0.2486
Pd1 0.0000 0.0000 0.5000
```


Calculated values (μB per atom) of total magnetization for the records, taken in order: 0.000; 0.000.
Calculated values (eV/atom) of energy of formation for the records, taken in order: -0.4564; -0.2883.
Calculated values (eV for the cell shown) of E for the records, taken in order: -254.07; -114.72.